# 1
Material: Ta2ZnBr
Method: DFT, PBEsol
State: optimized geometry

It has space group P4mm (No. 99), with a = 3.3318 Å, b = 3.3318 Å, c = 6.9580 Å, α = 90.00°, β = 90.00° and γ = 90.00°. The inequivalent atoms are Ta at (0.0000, 0.0000, 0.0000), Ta at (0.5000, 0.5000, 0.2079), Zn at (0.0000, 0.0000, 0.4090) and Br at (0.5000, 0.5000, 0.7647).

The calculation puts the size of the total moment at 0.00 μB per cell. Its excess energy over the best structure of this formula in the dataset is 0.000 eV/f.u. The formation energy from raw total energies comes out at 0.32 eV per atom.

---

# 2
Material: La2CuSi
Method: DFT, PBEsol
State: optimized geometry

It has space group P4mm (No. 99), with a = 3.2565 Å, b = 3.2565 Å, c = 8.5417 Å, α = 90.00°, β = 90.00° and γ = 90.00°. The inequivalent atoms are La at (0.0000, 0.0000, 0.0000), La at (0.5000, 0.5000, 0.3759), Cu at (0.5000, 0.5000, 0.7486) and Si at (0.0000, 0.0000, 0.6285).

The calculation puts the size of the total moment at 0.00 μB per cell. The formation energy from raw total energies comes out at -0.07 eV per atom.

---

# 3
Material: PBr2O
Method: DFT, PBEsol
State: optimized geometry

It has space group Fm-3m (No. 225), with a = 6.3747 Å, b = 6.3747 Å, c = 6.3747 Å, α = 90.00°, β = 90.00° and γ = 90.00°. The inequivalent atoms are P at (0.0000, 0.0000, 0.0000), Br at (0.2500, 0.2500, 0.2500) and O at (0.0000, 0.0000, 0.5000).

The calculation puts the size of the total moment at 4.04 μB per cell. Its excess energy over the best structure of this formula in the dataset is 0.296 eV/f.u. The formation energy from raw total energies comes out at 0.80 eV per atom.

---

# 4
Material: KHg2Ru
Method: DFT, PBEsol
State: optimized geometry

It has space group Pmm2 (No. 25), with a = 2.9352 Å, b = 4.4440 Å, c = 7.7205 Å, α = 90.00°, β = 90.00° and γ = 90.00°. The inequivalent atoms are K at (0.0000, 0.0000, 0.0000), Hg at (0.0000, 0.0000, 0.4096), Hg at (0.5000, 0.5000, 0.7027) and Ru at (0.5000, 0.5000, 0.3528).

The calculation puts the size of the total moment at 0.01 μB per cell. As for the formation energy: 511 meV/atom.

---

# 5
Material: Zr2Be2Pd
Method: DFT, PBEsol
State: optimized geometry

It has space group P4/mbm (No. 127), with a = 6.3404 Å, b = 6.3404 Å, c = 3.7066 Å, α = 90.00°, β = 90.00° and γ = 90.00°. The inequivalent atoms are Zr at (0.1730, 0.3270, 0.0000), Be at (0.1229, 0.6229, 0.5000) and Pd at (0.0000, 0.0000, 0.5000).

The calculation puts the size of the total moment at 0.00 μB per cell. As for the formation energy: -404 meV/atom.

---

# 6
Material: TcB3Os
Method: DFT, PBEsol
State: optimized geometry

It has space group Pm-3m (No. 221), with a = 3.9011 Å, b = 3.9011 Å, c = 3.9011 Å, α = 90.00°, β = 90.00° and γ = 90.00°. The inequivalent atoms are Tc at (0.0000, 0.0000, 0.0000), B at (0.0000, 0.0000, 0.5000) and Os at (0.5000, 0.5000, 0.5000).

The calculation puts the size of the total moment at 1.09 μB per cell. As for the formation energy: 1739 meV/atom.

---

# 7
Material: Cr3CuI
Method: DFT, PBEsol
State: optimized geometry

It has space group Pm-3m (No. 221), with a = 4.7050 Å, b = 4.7050 Å, c = 4.7050 Å, α = 90.00°, β = 90.00° and γ = 90.00°. The inequivalent atoms are Cr at (0.0000, 0.0000, 0.5000), Cu at (0.0000, 0.0000, 0.0000) and I at (0.5000, 0.5000, 0.5000).

The calculation puts the size of the total moment at 12.77 μB per cell. The formation energy from raw total energies comes out at 1.35 eV per atom.

---

# 8
Material: SrYPO2
Method: DFT, PBEsol
State: optimized geometry

It has space group P4/mmm (No. 123), with a = 4.3757 Å, b = 4.3757 Å, c = 5.3321 Å, α = 90.00°, β = 90.00° and γ = 90.00°. The inequivalent atoms are Sr at (0.0000, 0.0000, 0.0000), Y at (0.5000, 0.5000, 0.5000), P at (0.5000, 0.5000, 0.0000) and O at (0.0000, 0.5000, 0.5000).

The calculation puts the size of the total moment at 1.49 μB per cell. The formation energy from raw total energies comes out at -1.63 eV per atom.

---

# 9
Material: B3Mo
Method: DFT, PBEsol
State: optimized geometry

It has space group R-3m (No. 166, hexagonal axes), with a = 5.2032 Å, b = 5.2032 Å, c = 9.2503 Å, α = 90.00°, β = 90.00° and γ = 120.00°. The inequivalent atoms are B at (0.0000, 0.3350, 0.0000) and Mo at (0.0000, 0.0000, 0.1647).

The calculation puts the size of the total moment at 0.00 μB per cell. As for the formation energy: -366 meV/atom.

---

# 10
Material: KIn2Sn2
Method: DFT, PBEsol
State: optimized geometry

It has space group I4/mmm (No. 139), with a = 5.1895 Å, b = 5.1895 Å, c = 11.4267 Å, α = 90.00°, β = 90.00° and γ = 90.00°. The inequivalent atoms are K at (0.0000, 0.0000, 0.0000), In at (0.0000, 0.5000, 0.2500) and Sn at (0.0000, 0.0000, 0.3751).

The calculation puts the size of the total moment at 0.00 μB per cell. As for the formation energy: -159 meV/atom. Its excess energy over the best structure of this formula in the dataset is 0.000 eV/f.u.

---

# 11
Material: MnAgW
Method: DFT, PBEsol
State: optimized geometry

It has space group Fmm2 (No. 42), with a = 3.1459 Å, b = 4.3176 Å, c = 13.0596 Å, α = 90.00°, β = 90.00° and γ = 90.00°. The inequivalent atoms are Mn at (0.0000, 0.0000, 0.0000), Ag at (0.0000, 0.0000, 0.6684) and W at (0.0000, 0.0000, 0.3515).

The calculation puts the size of the total moment at 8.91 μB per cell. As for the formation energy: 455 meV/atom. Its excess energy over the best structure of this formula in the dataset is 0.000 eV/f.u.

---

# 12
Material: AlAg5
Method: DFT, PBEsol
State: optimized geometry

It has space group P4/mmm (No. 123), with a = 2.9080 Å, b = 2.9080 Å, c = 11.5733 Å, α = 90.00°, β = 90.00° and γ = 90.00°. The inequivalent atoms are Al at (0.0000, 0.0000, 0.0000), Ag at (0.0000, 0.0000, 0.3297), Ag at (0.5000, 0.5000, 0.1553) and Ag at (0.5000, 0.5000, 0.5000).

The calculation puts the size of the total moment at 0.00 μB per cell. As for the formation energy: -39 meV/atom. Its excess energy over the best structure of this formula in the dataset is 0.192 eV/f.u.